LaCeMnZn: optimized geometry, PBE.

a b c (Å): 5.168 5.168 5.168
angles (deg): 60.00 60.00 60.00
Atoms (fractional coordinates):
Zn 0.000 0.000 0.000
Mn 0.500 0.500 0.500
Ce 0.750 0.750 0.750
La 0.250 0.250 0.250

Properties
The calculation puts the electronic total energy at -5.264 eV per atom. The calculation puts the total magnetic moment at 1.96 μB per formula unit. The calculation puts the calculated formation energy at 62 meV per atom. As for the volume: 24.4 Å³ per atom. For the density of states at the Fermi level, the calculation gives 9.262 states/eV/f.u.